Compound: Ba2EuGe
Source: Alexandria
Functional: PBE-GGA
Structure: optimized geometry

a b c (Å): 4.4089 4.4089 12.6120
angles (deg): 79.93 79.93 60.00
Last column: magnetic moment on the atom in μB.
Fractional positions:
Eu  0.0000  0.0000  0.0000  7.04
Ge  0.5000  0.5000  0.5000  -0.02
Ba  0.1115  0.1115  0.6655  0.03
Ba  0.8885  0.8885  0.3345  0.03

## Properties
Calculated volume in Å³/cell: 207.9
Symmetry: R-3m (166)
DFT formation energy in meV/atom: -24
E_tot in eV per atom: -4.709